1.
VASP calculation (PBE) on a geometry-optimized Mg2ScOs structure.

a b c (Å): 2.8740 4.7387 5.4876
angles (deg): 90.00 104.24 90.00
Space group P2/m (No. 10)
Inequivalent atoms, fractional coordinates:
Mg1 0.1936 0.0000 0.2705 x2
Sc1 0.5000 0.5000 0.0000 x1
Os1 0.0000 0.5000 0.5000 x1

Output
Distance to the lowest polymorph of the same formula, meV/atom: 150.7
Spin magnetization, Bohr magnetons per cell: 0.00
Mass density, g cm⁻³: 6.51
Total DFT energy (no corrections), eV per atom: -5.1303
E_form, eV per formula unit: 0.23

=====

2.
VASP calculation (PBE) on a geometry-optimized MgScOs structure.

a b c (Å): 6.3152 6.3152 6.3152
angles (deg): 90.00 90.00 90.00
Space group F-43m (No. 216)
Inequivalent atoms, fractional coordinates:
Mg1 0.0000 0.0000 0.0000 x4
Sc1 0.2500 0.2500 0.7500 x4
Os1 0.0000 0.0000 0.5000 x4

Output
Spin magnetization, Bohr magnetons per cell: 0.00
Mass density, g cm⁻³: 6.84
Total DFT energy (no corrections), eV per atom: -5.6877
E_form, eV per formula unit: 2.09

=====

3.
VASP calculation (PBE) on a geometry-optimized Mg2ScOs structure.

a b c (Å): 3.2871 4.6502 9.7090
angles (deg): 90.00 90.00 90.00
Space group Cmmm (No. 65)
Inequivalent atoms, fractional coordinates:
Mg1 0.0000 0.0000 0.2206 x4
Sc1 0.0000 0.5000 0.5000 x2
Os1 0.0000 0.5000 0.0000 x2

Output
Distance to the lowest polymorph of the same formula, meV/atom: 349.9
Spin magnetization, Bohr magnetons per cell: 0.00
Mass density, g cm⁻³: 6.35
Total DFT energy (no corrections), eV per atom: -4.9311
E_form, eV per formula unit: 1.03

=====

4.
VASP calculation (PBE) on a geometry-optimized Mg2ScOs structure.

a b c (Å): 3.4194 4.8694 9.3339
angles (deg): 90.00 90.00 90.00
Space group Cmm2 (No. 35)
Inequivalent atoms, fractional coordinates:
Mg1 0.0000 0.0000 0.0000 x2
Mg2 0.0000 0.5000 0.2788 x2
Sc1 0.0000 0.5000 0.7096 x2
Os1 0.0000 0.0000 0.5027 x2

Output
Distance to the lowest polymorph of the same formula, meV/atom: 141.3
Spin magnetization, Bohr magnetons per cell: 0.00
Mass density, g cm⁻³: 6.06
Total DFT energy (no corrections), eV per atom: -5.1398
E_form, eV per formula unit: 0.19

=====

5.
VASP calculation (PBE) on a geometry-optimized MgScOs structure.

a b c (Å): 4.5670 4.5670 2.8815
angles (deg): 90.00 90.00 120.00
Space group P3m1 (No. 156)
Inequivalent atoms, fractional coordinates:
Mg1 0.0000 0.0000 0.0000 x1
Sc1 0.6667 0.3333 0.6005 x1
Os1 0.3333 0.6667 0.3064 x1

Output
Spin magnetization, Bohr magnetons per cell: 0.00
Mass density, g cm⁻³: 8.28
Total DFT energy (no corrections), eV per atom: -6.4414
E_form, eV per formula unit: -0.17

=====

6.
VASP calculation (PBE) on a geometry-optimized Mg4ScOs structure.

a b c (Å): 7.6731 7.6731 7.6731
angles (deg): 90.00 90.00 90.00
Space group F-43m (No. 216)
Inequivalent atoms, fractional coordinates:
Mg1 0.1239 0.1239 0.1239 x16
Sc1 0.0000 0.0000 0.5000 x4
Os1 0.2500 0.2500 0.7500 x4

Output
Spin magnetization, Bohr magnetons per cell: 0.00
Mass density, g cm⁻³: 4.89
Total DFT energy (no corrections), eV per atom: -3.7093
E_form, eV per formula unit: 1.68

=====

| no. | D(E_F) (states/eV/f.u.) |
| --- | --- |
| 1 | 2.90 |
| 2 | 2.56 |
| 3 | 4.27 |
| 4 | 2.86 |
| 5 | 2.50 |
| 6 | 5.71 |